1.
The following is a PBE calculation of crystalline CsHg2Au3 at its relaxed geometry, from the Alexandria database.

The structure in POSCAR format:
```
CsHg2Au3
1.0
5.909 -4.469 0.000
5.909 4.469 0.000
0.000 0.000 6.342
Cs Hg Au
2 4 6
Cartesian
5.909 3.043 4.757 Cs
5.909 -3.043 1.586 Cs
3.596 0.000 0.000 Hg
3.596 0.000 3.171 Hg
8.223 0.000 0.000 Hg
8.223 0.000 3.171 Hg
3.600 2.487 1.586 Au
5.909 0.932 1.586 Au
8.219 2.487 1.586 Au
3.600 -2.487 4.757 Au
5.909 -0.932 4.757 Au
8.219 -2.487 4.757 Au
```

Output
Crystal system: orthorhombic
Symmetry: Cmcm
Calculated total energy, eV/atom: -2.03
D(E_F), states/eV/f.u.: 1.6

2.
The following is a PBE calculation of crystalline Cs5HgAu at its relaxed geometry, from the Alexandria database.

The structure in POSCAR format:
```
Cs5HgAu
1.0
-3.472 5.782 7.431
3.472 -5.782 7.431
3.472 5.782 -7.431
Cs Hg Au
5 1 1
Cartesian
0.000 0.000 0.000 Cs
3.472 0.000 3.650 Cs
3.472 3.556 0.000 Cs
0.000 2.226 7.431 Cs
0.000 5.782 3.781 Cs
0.000 5.782 0.000 Hg
3.472 0.000 0.000 Au
```

Output
Crystal system: orthorhombic
Symmetry: Immm
Calculated total energy, eV/atom: -1.24
D(E_F), states/eV/f.u.: 8.3

3.
The following is a PBE calculation of crystalline CsHgAu at its relaxed geometry, from the Alexandria database.

The structure in POSCAR format:
```
CsHgAu
1.0
6.609 -3.019 0.000
6.609 3.019 0.000
-4.171 0.000 6.239
Cs Hg Au
2 2 2
Cartesian
1.672 0.000 1.145 Cs
7.376 0.000 5.094 Cs
4.524 1.566 3.119 Hg
4.524 -1.566 3.119 Hg
5.856 0.000 1.109 Au
3.192 0.000 5.130 Au
```

Output
Crystal system: monoclinic
Symmetry: C2/m
Relative energy among the computed polymorphs, meV per atom: 49
Calculated total energy, eV/atom: -1.73
D(E_F), states/eV/f.u.: 1.1

4.
The following is a PBE calculation of crystalline CsHg4Au at its relaxed geometry, from the Alexandria database.

The structure in POSCAR format:
```
CsHg4Au
1.0
2.585 -9.549 0.000
2.585 9.549 0.000
0.000 0.000 7.888
Cs Hg Au
2 8 2
Cartesian
2.585 7.167 5.916 Cs
2.585 -7.167 1.972 Cs
2.585 8.231 1.972 Hg
2.585 3.568 4.371 Hg
2.585 3.568 7.461 Hg
2.585 0.000 0.000 Hg
2.585 0.000 3.944 Hg
2.585 -3.568 0.427 Hg
2.585 -3.568 3.517 Hg
2.585 -8.231 5.916 Hg
2.585 5.307 1.972 Au
2.585 -5.307 5.916 Au
```

Output
Crystal system: orthorhombic
Symmetry: Cmcm
Relative energy among the computed polymorphs, meV per atom: 0
Calculated total energy, eV/atom: -1.06
D(E_F), states/eV/f.u.: 1.4

5.
The following is a PBE calculation of crystalline Cs2Hg6Au at its relaxed geometry, from the Alexandria database.

The structure in POSCAR format:
```
Cs2Hg6Au
1.0
0.000 5.371 5.371
5.371 0.000 5.371
5.371 5.371 0.000
Cs Hg Au
2 6 1
Cartesian
2.686 2.686 2.686 Cs
8.057 8.057 8.057 Cs
5.371 5.371 2.398 Hg
5.371 2.398 5.371 Hg
8.345 5.371 5.371 Hg
2.398 5.371 5.371 Hg
5.371 8.345 5.371 Hg
5.371 5.371 8.345 Hg
5.371 5.371 5.371 Au
```

Output
Crystal system: cubic
Symmetry: Fm-3m
Relative energy among the computed polymorphs, meV per atom: 42
Calculated total energy, eV/atom: -0.94
D(E_F), states/eV/f.u.: 5.4

6.
The following is a PBE calculation of crystalline Cs8Hg3Au at its relaxed geometry, from the Alexandria database.

The structure in POSCAR format:
```
Cs8Hg3Au
1.0
5.320 -7.369 0.000
5.320 7.369 0.000
0.000 0.000 11.175
Cs Hg Au
8 3 1
Cartesian
5.320 3.949 0.000 Cs
2.807 0.168 8.192 Cs
5.320 3.601 5.588 Cs
2.807 -0.168 2.983 Cs
7.833 0.168 2.983 Cs
5.320 -3.601 5.588 Cs
7.833 -0.168 8.192 Cs
5.320 -3.949 0.000 Cs
2.660 3.684 2.771 Hg
2.660 -3.684 8.404 Hg
5.320 0.000 0.000 Hg
5.320 0.000 5.588 Au
```

Output
Crystal system: orthorhombic
Symmetry: C222
Calculated total energy, eV/atom: -1.07
D(E_F), states/eV/f.u.: 11.7

7.
The following is a PBE calculation of crystalline CsHgAu3 at its relaxed geometry, from the Alexandria database.

The structure in POSCAR format:
```
CsHgAu3
1.0
3.781 -6.688 0.000
3.781 6.688 0.000
0.000 0.000 10.641
Cs Hg Au
4 4 12
Cartesian
3.781 4.774 7.980 Cs
3.781 2.076 2.660 Cs
3.781 -2.076 7.980 Cs
3.781 -4.774 2.660 Cs
1.890 3.344 0.000 Hg
1.890 3.344 5.320 Hg
1.890 -3.344 0.000 Hg
1.890 -3.344 5.320 Hg
3.781 5.484 1.065 Au
3.781 5.484 4.255 Au
2.369 1.116 7.980 Au
2.372 0.000 0.000 Au
2.372 0.000 5.320 Au
2.369 -1.116 2.660 Au
5.193 1.116 7.980 Au
5.190 0.000 0.000 Au
5.190 0.000 5.320 Au
5.193 -1.116 2.660 Au
3.781 -5.484 6.386 Au
3.781 -5.484 9.575 Au
```

Output
Crystal system: orthorhombic
Symmetry: Cmcm
Relative energy among the computed polymorphs, meV per atom: 0
Calculated total energy, eV/atom: -2.28
D(E_F), states/eV/f.u.: 1.6

8.
The following is a PBE calculation of crystalline Cs3Hg6Au2 at its relaxed geometry, from the Alexandria database.

The structure in POSCAR format:
```
Cs3Hg6Au2
1.0
-2.446 2.446 17.755
2.446 -2.446 17.755
2.446 2.446 -17.755
Cs Hg Au
3 6 2
Cartesian
0.000 0.000 0.000 Cs
0.000 0.000 6.116 Cs
0.000 0.000 29.393 Cs
2.446 0.000 2.998 Hg
0.000 0.000 9.814 Hg
2.446 0.000 14.757 Hg
0.000 2.446 2.998 Hg
0.000 0.000 25.696 Hg
0.000 2.446 14.757 Hg
0.000 0.000 12.925 Au
0.000 0.000 22.584 Au
```

Output
Crystal system: tetragonal
Symmetry: I4/mmm
Relative energy among the computed polymorphs, meV per atom: 0
Calculated total energy, eV/atom: -1.22
D(E_F), states/eV/f.u.: 4.2

9.
The following is a PBE calculation of crystalline CsHg2Au2 at its relaxed geometry, from the Alexandria database.

The structure in POSCAR format:
```
CsHg2Au2
1.0
8.714 0.000 0.000
0.000 8.714 0.000
0.000 0.000 3.621
Cs Hg Au
2 4 4
Cartesian
0.000 0.000 0.000 Cs
4.357 4.357 0.000 Cs
1.475 2.882 1.811 Hg
2.882 7.240 1.811 Hg
5.832 1.475 1.811 Hg
7.240 5.832 1.811 Hg
1.012 5.369 0.000 Au
3.346 1.012 0.000 Au
5.369 7.703 0.000 Au
7.703 3.346 0.000 Au
```

Output
Crystal system: tetragonal
Symmetry: P4/mbm
Relative energy among the computed polymorphs, meV per atom: 189
Calculated total energy, eV/atom: -1.62
D(E_F), states/eV/f.u.: 2.1

10.
The following is a PBE calculation of crystalline Cs3Hg6Au2 at its relaxed geometry, from the Alexandria database.

The structure in POSCAR format:
```
Cs3Hg6Au2
1.0
-2.615 2.615 14.552
2.615 -2.615 14.552
2.615 2.615 -14.552
Cs Hg Au
3 6 2
Cartesian
0.000 0.000 0.000 Cs
0.000 0.000 5.717 Cs
0.000 0.000 23.386 Cs
2.615 0.000 2.838 Hg
0.000 0.000 9.769 Hg
2.615 0.000 11.714 Hg
0.000 2.615 2.838 Hg
0.000 0.000 19.334 Hg
0.000 2.615 11.714 Hg
0.000 0.000 13.180 Au
0.000 0.000 15.923 Au
```

Output
Crystal system: tetragonal
Symmetry: I4/mmm
Relative energy among the computed polymorphs, meV per atom: 13
Calculated total energy, eV/atom: -1.21
D(E_F), states/eV/f.u.: 5.6

11.
The following is a PBE calculation of crystalline CsHg12Au6 at its relaxed geometry, from the Alexandria database.

The structure in POSCAR format:
```
CsHg12Au6
1.0
6.453 3.726 3.417
-6.453 3.726 3.417
0.000 -7.451 3.417
Cs Hg Au
1 12 6
Cartesian
0.000 0.000 0.000 Cs
-2.469 -4.277 5.126 Hg
-4.939 0.000 5.126 Hg
-1.706 -0.985 3.379 Hg
1.706 -0.985 3.379 Hg
0.000 1.969 3.379 Hg
2.469 -4.277 5.126 Hg
-2.469 4.277 5.126 Hg
0.000 -1.969 6.874 Hg
-1.706 0.985 6.874 Hg
1.706 0.985 6.874 Hg
4.939 0.000 5.126 Hg
2.469 4.277 5.126 Hg
0.000 -3.220 4.156 Au
-2.789 1.610 4.156 Au
-2.789 -1.610 6.096 Au
2.789 1.610 4.156 Au
2.789 -1.610 6.096 Au
0.000 3.220 6.096 Au
```

Output
Crystal system: trigonal
Symmetry: R-3m
Calculated total energy, eV/atom: -1.29
D(E_F), states/eV/f.u.: 5.4

12.
The following is a PBE calculation of crystalline CsHg2Au2 at its relaxed geometry, from the Alexandria database.

The structure in POSCAR format:
```
CsHg2Au2
1.0
-2.635 2.635 5.463
2.635 -2.635 5.463
2.635 2.635 -5.463
Cs Hg Au
1 2 2
Cartesian
0.000 0.000 0.000 Cs
0.000 0.000 3.946 Hg
0.000 0.000 6.979 Hg
2.635 0.000 2.731 Au
0.000 2.635 2.731 Au
```

Output
Crystal system: tetragonal
Symmetry: I4/mmm
Relative energy among the computed polymorphs, meV per atom: 45
Calculated total energy, eV/atom: -1.76
D(E_F), states/eV/f.u.: 1.5